12
Lattice="4.353 -0.925 0.000 -2.032 4.748 0.000 0.000 0.000 7.666" Properties=species:S:1:pos:R:3 comment="LiCu5, optimized geometry, DFT PBE" space_group="C2/m, No. 12" ef_ev_per_fu=-0.175 mass_density_g_cm3=7.49 relative_energy_mev_per_atom=0 crystal_system=monoclinic dos_at_fermi_per_ev_fu=2.309 energy_ev_per_atom=-3.76 pbc="T T T"
Cu 0.072 2.143 3.191
Cu -0.943 4.517 5.749
Cu 2.249 1.680 4.475
Cu 0.072 2.143 0.642
Cu 1.088 -0.231 0.621
Cu 2.249 1.680 7.024
Cu 1.233 4.054 7.045
Cu 3.264 -0.693 1.916
Cu 1.233 4.054 4.454
Cu 1.088 -0.231 3.212
Li 0.073 2.142 5.749
Li 2.248 1.681 1.916



16
Lattice="6.488 -0.044 0.000 -0.041 6.488 0.000 0.000 0.000 6.323" Properties=species:S:1:pos:R:3 comment="Li13Cu3, optimized geometry, DFT PBE" space_group="Amm2, No. 38" ef_ev_per_fu=0.158 mass_density_g_cm3=1.75 crystal_system=orthorhombic dos_at_fermi_per_ev_fu=7.412 energy_ev_per_atom=-2.31 pbc="T T T"
Li 4.954 1.490 3.161
Li 4.925 4.722 0.000
Li 3.223 3.222 1.651
Li 3.223 3.222 4.672
Li 6.461 3.009 4.798
Li 3.435 -0.016 4.798
Li 1.390 5.057 3.161
Li 1.410 5.036 0.000
Li 1.722 1.521 0.000
Li 1.415 1.283 3.161
Li 3.435 -0.016 1.524
Li 6.461 3.009 1.524
Li 5.163 5.029 3.161
Cu 6.316 0.128 5.041
Cu 6.316 0.128 1.282
Cu 4.781 1.664 0.000



4
Lattice="4.089 0.000 0.000 2.045 3.541 0.000 2.045 1.180 3.339" Properties=species:S:1:pos:R:3 comment="LiCu3, optimized geometry, DFT PBE" space_group="Fm-3m, No. 225" ef_ev_per_fu=-0.028 mass_density_g_cm3=6.79 crystal_system=cubic dos_at_fermi_per_ev_fu=2.208 energy_ev_per_atom=-3.56 pbc="T T T"
Cu 4.089 2.361 1.669
Cu 2.045 1.180 0.835
Cu 0.000 0.000 0.000
Li 6.134 3.541 2.504



4
Lattice="4.456 -0.006 0.000 1.488 4.200 0.000 -2.972 -2.097 2.573" Properties=species:S:1:pos:R:3 comment="LiCu3, optimized geometry, DFT PBE" space_group="I4/mmm, No. 139" ef_ev_per_fu=-0.162 mass_density_g_cm3=6.81 crystal_system=tetragonal dos_at_fermi_per_ev_fu=1.217 energy_ev_per_atom=-3.59 pbc="T T T"
Cu 2.228 -0.003 1.287
Cu 0.744 2.100 1.287
Cu 2.972 2.097 0.000
Li 0.000 0.000 0.000



9
Lattice="-1.439 -1.418 -5.547 3.159 -1.692 4.692 -5.248 -1.391 2.320" Properties=species:S:1:pos:R:3 comment="Li4Cu5, optimized geometry, DFT PBE" space_group="I4/mmm, No. 139" ef_ev_per_fu=-0.256 mass_density_g_cm3=4.98 crystal_system=tetragonal dos_at_fermi_per_ev_fu=1.881 energy_ev_per_atom=-3.15 pbc="T T T"
Cu 0.000 0.000 0.000
Cu -2.944 -1.976 1.269
Cu 1.617 -1.600 1.258
Cu 0.103 -1.510 -2.113
Cu -0.585 -2.525 0.195
Li -1.425 -2.103 4.782
Li -2.127 -0.893 -1.026
Li -4.561 -1.916 -2.201
Li -0.664 -0.980 2.230



6
Lattice="4.444 0.000 0.000 -2.222 3.849 0.000 0.000 0.000 4.226" Properties=species:S:1:pos:R:3 comment="LiCu5, optimized geometry, DFT PBE" space_group="P-62m, No. 189" ef_ev_per_fu=-0.156 mass_density_g_cm3=7.46 relative_energy_mev_per_atom=3 crystal_system=hexagonal dos_at_fermi_per_ev_fu=2.624 energy_ev_per_atom=-3.76 pbc="T T T"
Cu 0.016 2.537 0.000
Cu 4.411 0.000 0.000
Cu 1.481 2.566 2.113
Cu -0.741 1.283 2.113
Cu 2.239 1.311 0.000
Li 1.481 0.000 2.113



10
Lattice="4.599 0.000 0.000 2.299 4.517 0.000 2.299 0.000 6.638" Properties=species:S:1:pos:R:3 comment="Li3Cu2, optimized geometry, DFT PBE" space_group="Fdd2, No. 43" ef_ev_per_fu=0.053 mass_density_g_cm3=3.56 relative_energy_mev_per_atom=39 crystal_system=orthorhombic dos_at_fermi_per_ev_fu=2.199 energy_ev_per_atom=-2.78 pbc="T T T"
Li 2.994 2.232 4.702
Li 5.296 2.258 3.319
Li 4.146 0.000 0.000
Li 2.994 2.285 1.936
Li 1.844 0.027 1.383
Li 6.443 4.490 5.254
Cu 4.130 0.013 2.745
Cu 4.130 4.504 3.893
Cu 5.280 2.245 6.064
Cu 5.280 2.272 0.574



15
Lattice="4.965 0.122 0.153 -0.398 7.122 -0.259 -0.543 -3.850 7.443" Properties=species:S:1:pos:R:3 comment="Li13Cu2, optimized geometry, DFT PBE" space_group="P-1, No. 2" ef_ev_per_fu=0.229 mass_density_g_cm3=1.39 crystal_system=triclinic dos_at_fermi_per_ev_fu=4.838 energy_ev_per_atom=-2.19 pbc="T T T"
Li 1.450 2.478 0.066
Li 0.906 -1.742 4.432
Li 0.082 0.844 5.464
Li 2.574 0.916 7.271
Li 1.314 2.714 3.085
Li 0.000 0.000 0.000
Li 3.462 -1.622 6.046
Li 3.942 2.550 1.872
Li 2.518 0.192 1.580
Li 2.710 0.680 4.252
Li 3.118 5.136 2.905
Li 1.506 3.202 5.757
Li 0.562 5.016 1.291
Cu 3.917 3.147 4.553
Cu 0.107 0.248 2.784



4
Lattice="8.550 -0.028 -0.016 8.163 2.544 -0.016 8.163 1.229 2.228" Properties=species:S:1:pos:R:3 comment="LiCu3, optimized geometry, DFT PBE" space_group="R-3m, No. 166" ef_ev_per_fu=0.107 mass_density_g_cm3=6.65 crystal_system=trigonal dos_at_fermi_per_ev_fu=1.967 energy_ev_per_atom=-3.52 pbc="T T T"
Cu 6.175 0.930 0.545
Cu 12.438 1.873 1.097
Cu 18.701 2.815 1.650
Li 0.000 0.000 0.000



7
Lattice="2.288 -3.963 0.000 2.288 3.963 0.000 0.000 0.000 4.761" Properties=species:S:1:pos:R:3 comment="Li3Cu4, optimized geometry, DFT PBE" space_group="P6/mmm, No. 191" ef_ev_per_fu=0.840 mass_density_g_cm3=5.29 relative_energy_mev_per_atom=151 crystal_system=hexagonal dos_at_fermi_per_ev_fu=2.530 energy_ev_per_atom=-3.04 pbc="T T T"
Cu 2.288 -1.321 2.381
Cu 2.288 1.321 2.381
Cu 0.000 0.000 3.531
Cu 0.000 0.000 1.230
Li 1.144 -1.981 0.000
Li 2.288 0.000 0.000
Li 1.144 1.981 0.000



7
Lattice="-1.640 2.662 2.550 -2.360 -0.671 -4.010 -2.357 -4.610 3.298" Properties=species:S:1:pos:R:3 comment="Li5Cu2, optimized geometry, DFT PBE" space_group="C2/m, No. 12" ef_ev_per_fu=-0.009 mass_density_g_cm3=2.59 crystal_system=monoclinic dos_at_fermi_per_ev_fu=2.938 energy_ev_per_atom=-2.54 pbc="T T T"
Cu -0.917 -0.818 0.264
Cu -5.439 -1.801 1.574
Li -3.905 -2.799 3.603
Li -3.508 0.060 0.873
Li -2.452 0.180 -1.766
Li -2.849 -2.679 0.964
Li -1.998 -0.974 2.924